Material: Li2PmMoO5
Method: DFT, PBE with a Hubbard U
State: relaxed

abc: 6.9661 6.9661 10.0210
angles: 90.00 90.00 90.00
Space group I4/mcm (No. 140)
Asymmetric unit:
Li: 0.2477 0.2523 0.0000 [8 per cell]
Pm: 0.0000 0.0000 0.2500 [4 per cell]
Mo: 0.0000 0.5000 0.2500 [4 per cell]
O: 0.0000 0.0000 0.0000 [4 per cell]
O: 0.1631 0.3369 0.3404 [16 per cell]

Results
E_tot = -232.63 eV/cell